[1]
## LaUSb2 (PBE)

Data for crystalline LaUSb2 at its relaxed geometry.

Lattice parameters (Å, degrees): 4.442 4.442 7.958 73.79 73.79 60.00
Each line ends with the local moment (μB).
Element x y z (fractional)
Sb (0.255, 0.255, 0.236)  -0.05
Sb (0.745, 0.745, 0.764)  -0.05
U (0.000, 0.000, 0.000)  2.47
La (0.500, 0.500, 0.500)  0.01

Output
DOS(E_F)	4.6	states/eV per cell
volume	129	Å³/cell
ΔE to the lowest computed polymorph	0	meV/atom

---

[2]
## LaUSb (PBE)

Data for crystalline LaUSb at its relaxed geometry.

Lattice parameters (Å, degrees): 3.994 4.912 8.820 92.87 103.09 90.00
Each line ends with the local moment (μB).
Element x y z (fractional)
U (0.759, 0.168, 0.517)  1.68
U (0.241, 0.832, 0.483)  1.68
La (0.573, 0.752, 0.146)  0.02
La (0.427, 0.248, 0.854)  0.02
Sb (0.887, 0.732, 0.774)  -0.01
Sb (0.113, 0.268, 0.226)  -0.01

Output
DOS(E_F)	11.0	states/eV per cell
volume	168	Å³/cell

---

[3]
## LaVSb2 (PBE)

Data for crystalline LaVSb2 at its relaxed geometry.

Lattice parameters (Å, degrees): 6.212 6.212 8.677 69.02 69.02 90.00
Each line ends with the local moment (μB).
Element x y z (fractional)
Sb (0.546, 0.125, 0.250)  -0.11
Sb (0.204, 0.625, 0.250)  -0.11
Sb (0.375, 0.454, 0.750)  -0.11
Sb (0.875, 0.796, 0.750)  -0.11
La (0.000, 0.000, 0.000)  -0.03
La (0.750, 0.250, 0.500)  -0.03
V (0.500, 0.500, 0.000)  2.05
V (0.250, 0.750, 0.500)  2.05

Output
DOS(E_F)	4.7	states/eV per cell
volume	289	Å³/cell
ΔE to the lowest computed polymorph	470	meV/atom

---

[4]
## La2VSb2 (PBE)

Data for crystalline La2VSb2 at its relaxed geometry.

Lattice parameters (Å, degrees): 7.672 7.672 4.793 90.00 90.00 90.00
Each line ends with the local moment (μB).
Element x y z (fractional)
Sb (0.352, 0.852, 0.000)  -0.07
Sb (0.852, 0.648, 0.000)  -0.07
Sb (0.648, 0.148, 0.000)  -0.07
Sb (0.148, 0.352, 0.000)  -0.07
La (0.166, 0.666, 0.500)  0.04
La (0.666, 0.834, 0.500)  0.04
La (0.834, 0.334, 0.500)  0.04
La (0.334, 0.166, 0.500)  0.04
V (0.000, 0.000, 0.000)  2.48
V (0.500, 0.500, 0.000)  2.48

Output
DOS(E_F)	5.7	states/eV per cell
volume	282	Å³/cell

---

[5]
## LaV2Sb2 (PBE)

Data for crystalline LaV2Sb2 at its relaxed geometry.

Lattice parameters (Å, degrees): 3.966 3.966 7.758 75.19 75.19 90.00
Element x y z (fractional)
Sb (0.377, 0.377, 0.246)
Sb (0.623, 0.623, 0.754)
La (0.000, 0.000, 0.000)
V (0.750, 0.250, 0.500)
V (0.250, 0.750, 0.500)

Output
DOS(E_F)	4.3	states/eV per cell
volume	114	Å³/cell
ΔE to the lowest computed polymorph	0	meV/atom

---

[6]
## La3VSb (PBE)

Data for crystalline La3VSb at its relaxed geometry.

Lattice parameters (Å, degrees): 5.310 5.310 5.310 90.00 90.00 90.00
Element x y z (fractional)
Sb (0.500, 0.500, 0.500)
La (0.000, 0.500, 0.000)
La (0.000, 0.000, 0.500)
La (0.500, 0.000, 0.000)
V (0.000, 0.000, 0.000)

Output
DOS(E_F)	5.7	states/eV per cell
volume	150	Å³/cell
ΔE to the lowest computed polymorph	0	meV/atom

---

Uncorrected formation energy in meV/atom, matching the order above: -716, -477, -44, -631, -399, -132